Record 1
Here is an optimized crystal structure of Tl2SI from the Alexandria database. Energies are from PBE-GGA.

Unit cell a=3.8638 b=3.8638 c=8.0194 alpha=90.00 beta=90.00 gamma=90.00
Last column: nearest neighbours and their distance in Å.
Sites, in units of the cell vectors:
Tl 0.0000 0.0000 0.7913  4 S 3.20, 1 Tl 3.35
I 0.5000 0.5000 0.5000  8 Tl 3.59, 4 I 3.86, 2 S 4.01
S 0.5000 0.5000 0.0000  8 Tl 3.20
Tl 0.0000 0.0000 0.2087  4 S 3.20, 1 Tl 3.35

Computed properties:
Crystal system ... tetragonal
Space-group type ... No. 123
DFT total energy ... -2.81 eV per atom
Magnetization ... 0.000 Bohr magnetons per cell


Record 2
Here is an optimized crystal structure of Tl6S2I from the Alexandria database. Energies are from PBE-GGA.

Unit cell a=7.3810 b=9.6600 c=9.6599 alpha=68.15 beta=75.89 gamma=75.89
Last column: nearest neighbours and their distance in Å.
Sites, in units of the cell vectors:
Tl 0.3005 0.4603 0.9466  2 S 2.99-3.01
I 0.7500 0.7370 0.2630  4 Tl 3.38-3.76
Tl 0.8260 0.1664 0.0490  2 S 2.95-2.99
S 0.4910 0.8058 0.6970  6 Tl 2.95-3.01
S 0.9910 0.6970 0.8058  6 Tl 2.95-3.01
Tl 0.2989 0.6811 0.5434  2 S 2.98-2.99
Tl 0.7989 0.5434 0.6811  2 S 2.98-2.99
Tl 0.8005 0.9466 0.4603  2 S 2.99-3.01
Tl 0.2011 0.4566 0.3189  2 S 2.98-2.99
Tl 0.6740 0.9510 0.8336  2 S 2.95-2.99
Tl 0.6995 0.5397 0.0534  2 S 2.99-3.01
Tl 0.3260 0.0490 0.1664  2 S 2.95-2.99
S 0.0090 0.3030 0.1942  6 Tl 2.95-3.01
S 0.5090 0.1942 0.3030  6 Tl 2.95-3.01
Tl 0.1740 0.8336 0.9510  2 S 2.95-2.99
Tl 0.1995 0.0534 0.5397  2 S 2.99-3.01
I 0.2500 0.2630 0.7370  4 Tl 3.38-3.76
Tl 0.7011 0.3189 0.4566  2 S 2.98-2.99

Computed properties:
Crystal system ... monoclinic
Space-group type ... No. 15
DFT total energy ... -2.95 eV per atom
Magnetization ... 0.000 Bohr magnetons per cell